{
  "formula": "AcCdPdPt",
  "functional": "PBE-GGA",
  "state": "optimized geometry",
  "lattice_angstrom": [[4.067, -2.349, 0.000], [4.067, 2.349, 0.000], [-2.718, 0.000, 4.987]],
  "species": ["Ac", "Cd", "Pd", "Pt"],
  "fractional_positions": [[0.000, 0.000, 0.000], [0.499, 0.499, 0.496], [0.209, 0.209, 0.627], [0.787, 0.787, 0.359]],
  "vol_a3_per_cell": 95.3,
  "polymorph_energy_mev_per_atom": 0,
  "e_tot_ev_per_fu": -19.3
}